This record from the Alexandria database describes Ac2UTe2N2 after structural relaxation. The functional is PBE-GGA.

Properties
Crystal system   monoclinic
Energy relative to the elements, uncorrected   -1504 meV/atom
E_tot   -7.57 eV/atom

a = 6.6980 Å, b = 6.6980 Å, c = 8.0913 Å
α = 120.05°, β = 120.05°, γ = 36.84°
Sites, in units of the cell vectors:
1 Ac 0.1933 0.1933 0.2565
2 Ac 0.8067 0.8067 0.7435
3 U 0.0000 0.0000 0.5000
4 Te 0.4340 0.4340 0.1660
5 Te 0.5660 0.5660 0.8340
6 N 0.1790 0.1790 0.5661
7 N 0.8210 0.8210 0.4339

This record from the Alexandria database describes Nd2HfGeN5 after structural relaxation. The functional is PBE-GGA.

Properties
Crystal system   orthorhombic
Energy relative to the elements, uncorrected   -932 meV/atom
E_tot   -8.24 eV/atom

a = 7.4318 Å, b = 7.4318 Å, c = 10.1723 Å
α = 90.00°, β = 90.00°, γ = 154.03°
Sites, in units of the cell vectors:
1 Nd 0.1119 0.8881 0.5000
2 Nd 0.1271 0.8729 0.1234
3 Nd 0.8729 0.1271 0.6234
4 Nd 0.8881 0.1119 0.0000
5 Hf 0.2153 0.7847 0.8310
6 Hf 0.7847 0.2153 0.3310
7 Ge 0.4515 0.5485 0.2694
8 Ge 0.5485 0.4515 0.7694
9 N 0.0485 0.9515 0.8660
10 N 0.2895 0.7105 0.4719
11 N 0.3227 0.6773 0.1965
12 N 0.3560 0.6440 0.8199
13 N 0.4981 0.5019 0.6034
14 N 0.5019 0.4981 0.1034
15 N 0.6440 0.3560 0.3199
16 N 0.6773 0.3227 0.6965
17 N 0.7105 0.2895 0.9719
18 N 0.9515 0.0485 0.3660

This record from the Alexandria database describes NaNdAs2Pd4 after structural relaxation. The functional is PBE-GGA.

Properties
Crystal system   tetragonal
Formation energy   -484 meV/atom
E_tot   -5.00 eV/atom

a = 4.0788 Å, b = 4.0788 Å, c = 10.3912 Å
α = 90.00°, β = 90.00°, γ = 90.00°
Sites, in units of the cell vectors:
1 Na 0.0000 0.0000 0.0000
2 Nd 0.0000 0.0000 0.5000
3 As 0.5000 0.5000 0.1531
4 As 0.5000 0.5000 0.8469
5 Pd 0.0000 0.5000 0.2880
6 Pd 0.0000 0.5000 0.7120
7 Pd 0.5000 0.0000 0.2880
8 Pd 0.5000 0.0000 0.7120

This record from the Alexandria database describes AlCu2Tc after structural relaxation. The functional is PBE-GGA.

Properties
Crystal system   orthorhombic
Formation energy   35 meV/atom
E_tot   -5.54 eV/atom

a = 2.6126 Å, b = 3.8415 Å, c = 5.2932 Å
α = 90.00°, β = 90.00°, γ = 90.00°
Sites, in units of the cell vectors:
1 Al 0.0000 0.0000 0.0000
2 Cu 0.5000 0.5000 0.2458
3 Cu 0.5000 0.5000 0.7542
4 Tc 0.0000 0.0000 0.5000

This record from the Alexandria database describes Mg2CoH2 after structural relaxation. The functional is PBE-GGA.

Properties
Crystal system   tetragonal
Relative energy among the computed polymorphs   9 meV per atom
E_tot   -3.22 eV/atom

a = 5.8344 Å, b = 5.8344 Å, c = 3.1240 Å
α = 90.00°, β = 90.00°, γ = 90.00°
Sites, in units of the cell vectors:
1 Mg 0.1865 0.3135 0.0000
2 Mg 0.3135 0.8135 0.0000
3 Mg 0.6865 0.1865 0.0000
4 Mg 0.8135 0.6865 0.0000
5 Co 0.0000 0.0000 0.5000
6 Co 0.5000 0.5000 0.5000
7 H 0.1595 0.6595 0.5000
8 H 0.3405 0.1595 0.5000
9 H 0.6595 0.8405 0.5000
10 H 0.8405 0.3405 0.5000

This record from the Alexandria database describes Fe2SiHg after structural relaxation. The functional is PBE-GGA.

Properties
Crystal system   cubic
Energy relative to the elements, uncorrected   386 meV/atom
Relative energy among the computed polymorphs   308 meV per atom
E_tot   -5.28 eV/atom

a = 4.3027 Å, b = 4.3027 Å, c = 4.3027 Å
α = 60.00°, β = 60.00°, γ = 60.00°
Sites, in units of the cell vectors:
1 Fe 0.2500 0.2500 0.2500
2 Fe 0.7500 0.7500 0.7500
3 Si 0.0000 0.0000 0.0000
4 Hg 0.5000 0.5000 0.5000

This record from the Alexandria database describes Ac2Tm3Pb4 after structural relaxation. The functional is PBE-GGA.

Properties
Crystal system   monoclinic
Relative energy among the computed polymorphs   0 meV per atom
Formation energy   -564 meV/atom
E_tot   -4.62 eV/atom

a = 8.5700 Å, b = 8.5488 Å, c = 8.4294 Å
α = 90.00°, β = 111.31°, γ = 90.00°
Sites, in units of the cell vectors:
1 Ac 0.1907 0.1768 0.0570
2 Ac 0.1907 0.3232 0.5570
3 Ac 0.8093 0.6768 0.4430
4 Ac 0.8093 0.8232 0.9430
5 Tm 0.2493 0.6543 0.2435
6 Tm 0.2493 0.8457 0.7435
7 Tm 0.5000 0.0000 0.5000
8 Tm 0.5000 0.5000 0.0000
9 Tm 0.7507 0.1543 0.2565
10 Tm 0.7507 0.3457 0.7565
11 Pb 0.0910 0.5490 0.8444
12 Pb 0.0910 0.9510 0.3444
13 Pb 0.4982 0.6406 0.6405
14 Pb 0.4982 0.8594 0.1405
15 Pb 0.5018 0.1406 0.8595
16 Pb 0.5018 0.3594 0.3595
17 Pb 0.9090 0.0490 0.6556
18 Pb 0.9090 0.4510 0.1556

This record from the Alexandria database describes MgTi2Zn after structural relaxation. The functional is PBE-GGA.

Properties
Crystal system   tetragonal
Relative energy among the computed polymorphs   34 meV per atom
Formation energy   49 meV/atom
E_tot   -4.62 eV/atom

a = 3.2386 Å, b = 3.2386 Å, c = 6.5483 Å
α = 90.00°, β = 90.00°, γ = 90.00°
Sites, in units of the cell vectors:
1 Mg 0.0000 0.0000 0.0000
2 Ti 0.5000 0.5000 0.2690
3 Ti 0.5000 0.5000 0.7310
4 Zn 0.0000 0.0000 0.5000

This record from the Alexandria database describes SbH after structural relaxation. The functional is PBE-GGA.

Properties
Crystal system   monoclinic
Relative energy among the computed polymorphs   144 meV per atom
E_tot   -3.56 eV/atom

a = 4.5883 Å, b = 4.3745 Å, c = 4.7439 Å
α = 90.00°, β = 96.37°, γ = 90.00°
Sites, in units of the cell vectors:
1 Sb 0.2129 0.2500 0.4972
2 Sb 0.7871 0.7500 0.5028
3 H 0.2625 0.2500 0.8669
4 H 0.7375 0.7500 0.1331

This record from the Alexandria database describes DyErPd4 after structural relaxation. The functional is PBE-GGA.

Properties
Crystal system   tetragonal
Relative energy among the computed polymorphs   193 meV per atom
Formation energy   -623 meV/atom
E_tot   -5.61 eV/atom

a = 3.9386 Å, b = 3.9386 Å, c = 8.3864 Å
α = 90.00°, β = 90.00°, γ = 90.00°
Sites, in units of the cell vectors:
1 Dy 0.0000 0.0000 0.0000
2 Er 0.5000 0.5000 0.5000
3 Pd 0.0000 0.5000 0.2518
4 Pd 0.0000 0.5000 0.7482
5 Pd 0.5000 0.0000 0.2518
6 Pd 0.5000 0.0000 0.7482

This record from the Alexandria database describes K2ScMn after structural relaxation. The functional is PBE-GGA.

Properties
Crystal system   orthorhombic
Relative energy among the computed polymorphs   42 meV per atom
Formation energy   544 meV/atom
E_tot   -3.88 eV/atom

a = 10.9014 Å, b = 10.9014 Å, c = 10.9014 Å
α = 160.97°, β = 158.64°, γ = 28.76°
Sites, in units of the cell vectors:
1 K 0.1533 0.1533 0.0000
2 K 0.8467 0.8467 0.0000
3 Sc 0.5000 0.0000 0.5000
4 Mn 0.0000 0.5000 0.5000

This record from the Alexandria database describes Li3LaW after structural relaxation. The functional is PBE-GGA.

Properties
Crystal system   cubic
Relative energy among the computed polymorphs   0 meV per atom
Formation energy   1131 meV/atom
E_tot   -3.59 eV/atom

a = 4.9478 Å, b = 4.9478 Å, c = 4.9478 Å
α = 90.00°, β = 90.00°, γ = 90.00°
Sites, in units of the cell vectors:
1 Li 0.0000 0.0000 0.5000
2 Li 0.0000 0.5000 0.0000
3 Li 0.5000 0.0000 0.0000
4 La 0.5000 0.5000 0.5000
5 W 0.0000 0.0000 0.0000

This record from the Alexandria database describes Ca2NbBiO6 after structural relaxation. The functional is PBE-GGA.

Properties
Crystal system   tetragonal
Energy relative to the elements, uncorrected   -2341 meV/atom
E_tot   -7.11 eV/atom

a = 5.7090 Å, b = 5.7090 Å, c = 5.1852 Å
α = 90.00°, β = 90.00°, γ = 90.00°
Sites, in units of the cell vectors:
1 Ca 0.0000 0.5000 0.0000
2 Ca 0.5000 0.0000 0.0000
3 Nb 0.0000 0.0000 0.6351
4 Bi 0.5000 0.5000 0.5951
5 O 0.0000 0.0000 0.2784
6 O 0.2313 0.2313 0.7644
7 O 0.2313 0.7687 0.7644
8 O 0.5000 0.5000 0.1829
9 O 0.7687 0.2313 0.7644
10 O 0.7687 0.7687 0.7644

This record from the Alexandria database describes BOsOF2 after structural relaxation. The functional is PBE-GGA.

Properties
Crystal system   tetragonal
Energy relative to the elements, uncorrected   -346 meV/atom
Relative energy among the computed polymorphs   0 meV per atom
E_tot   -5.67 eV/atom

a = 4.6274 Å, b = 4.6274 Å, c = 2.5533 Å
α = 90.00°, β = 90.00°, γ = 90.00°
Sites, in units of the cell vectors:
1 B 0.0000 0.0000 0.0000
2 Os 0.5000 0.5000 0.5000
3 O 0.0000 0.0000 0.5000
4 F 0.0000 0.5000 0.0000
5 F 0.5000 0.0000 0.0000

This record from the Alexandria database describes VZn2Ge after structural relaxation. The functional is PBE-GGA.

Properties
Crystal system   tetragonal
Formation energy   9 meV/atom
E_tot   -4.06 eV/atom

a = 3.7807 Å, b = 3.7807 Å, c = 4.0388 Å
α = 90.00°, β = 90.00°, γ = 90.00°
Sites, in units of the cell vectors:
1 V 0.0000 0.0000 0.0000
2 Zn 0.0000 0.5000 0.5000
3 Zn 0.5000 0.0000 0.5000
4 Ge 0.5000 0.5000 0.0000

This record from the Alexandria database describes YTm2O4 after structural relaxation. The functional is PBE-GGA.

Properties
Crystal system   orthorhombic
Energy relative to the elements, uncorrected   -3272 meV/atom
E_tot   -8.31 eV/atom

a = 5.8118 Å, b = 9.9370 Å, c = 3.3556 Å
α = 90.00°, β = 90.00°, γ = 90.00°
Sites, in units of the cell vectors:
1 Y 0.0000 0.0000 0.0000
2 Y 0.5000 0.5000 0.0000
3 Tm 0.0547 0.3350 0.5000
4 Tm 0.4453 0.8350 0.5000
5 Tm 0.5547 0.1650 0.5000
6 Tm 0.9453 0.6650 0.5000
7 O 0.1558 0.7854 0.0000
8 O 0.2448 0.5329 0.5000
9 O 0.2552 0.0329 0.5000
10 O 0.3442 0.2854 0.0000
11 O 0.6558 0.7146 0.0000
12 O 0.7448 0.9671 0.5000
13 O 0.7552 0.4671 0.5000
14 O 0.8442 0.2146 0.0000

This record from the Alexandria database describes KSbW2 after structural relaxation. The functional is PBE-GGA.

Properties
Crystal system   tetragonal
Energy relative to the elements, uncorrected   1576 meV/atom
E_tot   -6.21 eV/atom

a = 5.6728 Å, b = 5.6728 Å, c = 5.6728 Å
α = 137.52°, β = 137.52°, γ = 61.63°
Sites, in units of the cell vectors:
1 K 0.0000 0.0000 0.0000
2 Sb 0.5000 0.5000 0.0000
3 W 0.2500 0.7500 0.5000
4 W 0.7500 0.2500 0.5000

This record from the Alexandria database describes KZr2Pb after structural relaxation. The functional is PBE-GGA.

Properties
Crystal system   tetragonal
Relative energy among the computed polymorphs   401 meV per atom
Formation energy   503 meV/atom
E_tot   -4.97 eV/atom

a = 3.8676 Å, b = 3.8676 Å, c = 8.7123 Å
α = 90.00°, β = 90.00°, γ = 90.00°
Sites, in units of the cell vectors:
1 K 0.0000 0.0000 0.0000
2 Zr 0.5000 0.5000 0.3403
3 Zr 0.5000 0.5000 0.6597
4 Pb 0.0000 0.0000 0.5000

This record from the Alexandria database describes ThCo2Ge3 after structural relaxation. The functional is PBE-GGA.

Properties
Crystal system   orthorhombic
Formation energy   -344 meV/atom
E_tot   -6.26 eV/atom

a = 6.2233 Å, b = 6.2233 Å, c = 5.6149 Å
α = 90.00°, β = 90.00°, γ = 100.80°
Sites, in units of the cell vectors:
1 Th 0.2011 0.7989 0.7500
2 Th 0.7989 0.2011 0.2500
3 Co 0.3360 0.3360 0.0000
4 Co 0.3360 0.3360 0.5000
5 Co 0.6640 0.6640 0.0000
6 Co 0.6640 0.6640 0.5000
7 Ge 0.0437 0.2728 0.7500
8 Ge 0.2728 0.0437 0.2500
9 Ge 0.3617 0.6383 0.2500
10 Ge 0.6383 0.3617 0.7500
11 Ge 0.7272 0.9563 0.7500
12 Ge 0.9563 0.7272 0.2500

This record from the Alexandria database describes Cs2Rb5Se after structural relaxation. The functional is PBE-GGA.

Properties
Crystal system   monoclinic
Energy relative to the elements, uncorrected   -289 meV/atom
E_tot   -1.54 eV/atom

a = 9.4683 Å, b = 9.4683 Å, c = 10.3997 Å
α = 116.91°, β = 116.91°, γ = 90.24°
Sites, in units of the cell vectors:
1 Cs 0.2500 0.7500 0.0000
2 Cs 0.7500 0.2500 0.0000
3 Rb 0.2451 0.7794 0.5244
4 Rb 0.2467 0.2467 0.5256
5 Rb 0.2876 0.2876 0.0750
6 Rb 0.7794 0.2451 0.5244
7 Rb 0.7788 0.7788 0.5252
8 Se 0.0836 0.0836 0.6674

This record from the Alexandria database describes Pa3CoS6 after structural relaxation. The functional is PBE-GGA.

Properties
Crystal system   trigonal
Energy relative to the elements, uncorrected   -1282 meV/atom
Relative energy among the computed polymorphs   153 meV per atom
E_tot   -7.32 eV/atom

a = 7.6584 Å, b = 7.6584 Å, c = 7.6584 Å
α = 99.17°, β = 99.17°, γ = 99.17°
Sites, in units of the cell vectors:
1 Pa 0.1241 0.7909 0.6218
2 Pa 0.2091 0.3782 0.8759
3 Pa 0.3782 0.8759 0.2091
4 Pa 0.6218 0.1241 0.7909
5 Pa 0.7909 0.6218 0.1241
6 Pa 0.8759 0.2091 0.3782
7 Co 0.0000 0.0000 0.0000
8 Co 0.5000 0.5000 0.5000
9 S 0.0641 0.6898 0.9317
10 S 0.0683 0.9359 0.3102
11 S 0.1922 0.4343 0.5311
12 S 0.3102 0.0683 0.9359
13 S 0.4343 0.5311 0.1922
14 S 0.4689 0.8078 0.5657
15 S 0.5311 0.1922 0.4343
16 S 0.5657 0.4689 0.8078
17 S 0.6898 0.9317 0.0641
18 S 0.8078 0.5657 0.4689
19 S 0.9317 0.0641 0.6898
20 S 0.9359 0.3102 0.0683

This record from the Alexandria database describes ScTl3Fe after structural relaxation. The functional is PBE-GGA.

Properties
Crystal system   cubic
Relative energy among the computed polymorphs   556 meV per atom
Formation energy   1051 meV/atom
E_tot   -3.33 eV/atom

a = 5.5842 Å, b = 5.5842 Å, c = 5.5842 Å
α = 90.00°, β = 90.00°, γ = 90.00°
Sites, in units of the cell vectors:
1 Sc 0.0000 0.0000 0.0000
2 Tl 0.0000 0.0000 0.5000
3 Tl 0.0000 0.5000 0.0000
4 Tl 0.5000 0.0000 0.0000
5 Fe 0.5000 0.5000 0.5000

This record from the Alexandria database describes GaTc3Ni after structural relaxation. The functional is PBE-GGA.

Properties
Crystal system   cubic
Relative energy among the computed polymorphs   0 meV per atom
Formation energy   1379 meV/atom
E_tot   -6.60 eV/atom

a = 4.4273 Å, b = 4.4273 Å, c = 4.4273 Å
α = 90.00°, β = 90.00°, γ = 90.00°
Sites, in units of the cell vectors:
1 Ga 0.0000 0.0000 0.0000
2 Tc 0.0000 0.5000 0.5000
3 Tc 0.5000 0.0000 0.5000
4 Tc 0.5000 0.5000 0.0000
5 Ni 0.5000 0.5000 0.5000

This record from the Alexandria database describes SrLi3Zn8 after structural relaxation. The functional is PBE-GGA.

Properties
Crystal system   trigonal
Relative energy among the computed polymorphs   15 meV per atom
Formation energy   -150 meV/atom
E_tot   -1.62 eV/atom

a = 9.5145 Å, b = 9.5145 Å, c = 9.5145 Å
α = 32.14°, β = 32.14°, γ = 32.14°
Sites, in units of the cell vectors:
1 Sr 0.0000 0.0000 0.0000
2 Li 0.1293 0.1293 0.1293
3 Li 0.4996 0.4996 0.4996
4 Li 0.6101 0.6101 0.6101
5 Zn 0.0611 0.0611 0.5547
6 Zn 0.0611 0.5547 0.0611
7 Zn 0.0725 0.5679 0.5679
8 Zn 0.3087 0.3087 0.3087
9 Zn 0.5547 0.0611 0.0611
10 Zn 0.5679 0.0725 0.5679
11 Zn 0.5679 0.5679 0.0725
12 Zn 0.8143 0.8143 0.8143

This record from the Alexandria database describes ZrGe2SbF after structural relaxation. The functional is PBE-GGA.

Properties
Crystal system   tetragonal
Energy relative to the elements, uncorrected   637 meV/atom
E_tot   -4.12 eV/atom

a = 5.2624 Å, b = 5.2624 Å, c = 5.4715 Å
α = 90.00°, β = 90.00°, γ = 90.00°
Sites, in units of the cell vectors:
1 Zr 0.0000 0.0000 0.0000
2 Ge 0.0000 0.5000 0.5000
3 Ge 0.5000 0.0000 0.5000
4 Sb 0.0000 0.0000 0.5000
5 F 0.5000 0.5000 0.0000